[1]
This record from the Alexandria database describes a geometry-optimized CaY5In6 structure. The functional is PBE.

Properties
- Magnetic moment: 0.000 μB per formula unit
- Energy relative to the elements: -0.491 eV/atom
- Total energy: -4.720 eV per atom

```
CaY5In6
1.0
-4.751 1.781 1.653
-0.643 -9.213 -0.548
6.362 3.871 5.489
Y Ca In
5 1 6
direct
0.500 0.163 0.837
0.000 0.332 0.668
0.500 0.500 0.500
0.000 0.668 0.332
0.500 0.837 0.163
0.000 0.000 0.000
0.253 0.085 0.420
0.747 0.580 0.915
0.755 0.255 0.255
0.245 0.745 0.745
0.253 0.420 0.085
0.747 0.915 0.580
```

[2]
This record from the Alexandria database describes a geometry-optimized TmScAsO2 structure. The functional is PBE.

Properties
- Magnetic moment: 0.000 μB per formula unit
- Total energy: -7.702 eV per atom
- E_form (uncorrected): -2.6283 eV/atom

```
TmScAsO2
1.0
3.660 0.000 0.000
0.000 3.660 0.000
-1.830 -1.830 6.193
Tm Sc As O
1 1 1 2
direct
0.159 0.159 0.319
0.834 0.834 0.667
0.498 0.498 0.996
0.755 0.255 0.509
0.255 0.755 0.509
```

[3]
This record from the Alexandria database describes a geometry-optimized MnBi structure. The functional is PBE.

Properties
- Magnetic moment: 2.965 μB per formula unit
- Energy relative to the elements: 0.568 eV/atom
- Total energy: -5.957 eV per atom

```
MnBi
1.0
-7.670 2.370 1.506
-2.807 -6.346 -4.309
-0.080 -4.564 6.774
Mn Bi
8 8
direct
0.117 0.117 0.117
0.117 0.883 0.883
0.883 0.117 0.883
0.883 0.883 0.117
0.617 0.617 0.617
0.617 0.383 0.383
0.383 0.617 0.383
0.383 0.383 0.617
0.304 0.304 0.304
0.304 0.696 0.696
0.696 0.304 0.696
0.696 0.696 0.304
0.804 0.804 0.804
0.804 0.196 0.196
0.196 0.804 0.196
0.196 0.196 0.804
```